1.
18
Lattice="8.1733 -4.7294 0.0000 8.1733 4.7294 0.0000 -0.0045 0.0000 6.6889" Properties=species:S:1:pos:R:3 comment="PBE Tb2Ho4Sc3, optimized geometry" final_energy_ev_per_cell=-91.9 vol_a3_per_atom=28.7 pbc="T T T"
Tb 2.9088 1.2774 3.3399
Tb 2.9066 -1.2774 6.6843
Tb 13.4355 1.2774 0.0045
Tb 13.4333 -1.2774 3.3490
Ho 5.6172 2.8397 0.0061
Ho 7.8206 1.5632 3.3429
Ho 8.5237 1.5632 0.0016
Ho 10.7271 2.8397 3.3384
Ho 5.6150 -2.8397 3.3505
Ho 7.8183 -1.5632 6.6873
Ho 8.5215 -1.5632 3.3460
Ho 10.7249 -2.8397 6.6828
Sc 8.1722 -4.7264 1.6722
Sc 8.1699 4.7264 5.0167
Sc 5.4564 0.0050 5.0164
Sc 5.4586 -0.0050 1.6720
Sc 10.8834 0.0050 5.0169
Sc 10.8857 -0.0050 1.6724


2.
14
Lattice="9.2057 0.0000 0.0000 -4.6029 7.9724 0.0000 0.0000 0.0000 5.4315" Properties=species:S:1:pos:R:3 comment="PBE TbHo3Sc3, optimized geometry" final_energy_ev_per_cell=-74.4 vol_a3_per_atom=28.5 pbc="T T T"
Tb 0.0000 5.3149 1.3579
Tb 4.6029 2.6575 4.0737
Ho -3.2584 6.4105 1.3579
Ho 0.6804 1.9453 1.3579
Ho 2.0249 0.3834 4.0737
Ho 2.5780 7.5890 1.3579
Ho 3.9225 6.0271 4.0737
Ho 7.8613 1.5619 4.0737
Sc -1.9471 4.9008 4.0737
Sc 1.3322 3.8358 4.0737
Sc 3.9880 0.7642 1.3579
Sc 0.6148 7.2082 4.0737
Sc 3.2706 4.1366 1.3579
Sc 6.5499 3.0716 1.3579


3.
12
Lattice="4.9684 0.0000 0.0000 0.0000 4.9684 0.0000 0.0000 0.0000 14.8677" Properties=species:S:1:pos:R:3 comment="PBE Tb2Ho9Sc, optimized geometry" final_energy_ev_per_cell=-56.4 vol_a3_per_atom=30.6 pbc="T T T"
Tb 0.0000 0.0000 2.5054
Tb 0.0000 0.0000 12.3623
Ho 0.0000 2.4842 0.0000
Ho 0.0000 2.4842 5.0259
Ho 0.0000 2.4842 9.8418
Ho 2.4842 0.0000 0.0000
Ho 2.4842 0.0000 5.0259
Ho 2.4842 0.0000 9.8418
Ho 2.4842 2.4842 2.5176
Ho 2.4842 2.4842 7.4338
Ho 2.4842 2.4842 12.3501
Sc 0.0000 0.0000 7.4338


4.
8
Lattice="-2.4062 2.4502 9.7231 2.4062 -2.4502 9.7231 2.4062 2.4502 -9.7231" Properties=species:S:1:pos:R:3 comment="PBE Tb2Ho3Sc3, optimized geometry" final_energy_ev_per_cell=-41.6 vol_a3_per_atom=28.7 pbc="T T T"
Tb 0.0000 0.0000 4.8427
Tb 0.0000 0.0000 14.6034
Ho 0.0000 0.0000 0.0000
Ho 2.4062 0.0000 7.3615
Ho 0.0000 2.4502 2.3616
Sc 2.4062 0.0000 2.3918
Sc 0.0000 0.0000 9.7231
Sc 0.0000 2.4502 7.3313


5.
14
Lattice="6.2969 0.0000 0.0000 0.0000 10.3867 0.0000 -0.2252 0.0000 6.3946" Properties=species:S:1:pos:R:3 comment="PBE Tb2Ho3Sc2, optimized geometry" final_energy_ev_per_cell=-68.3 relative_energy_ev_per_atom=0.1782 vol_a3_per_atom=29.9 pbc="T T T"
Tb 0.8367 2.5150 1.5888
Tb 0.7241 2.6784 4.7861
Tb 5.3476 7.7083 1.6085
Tb 5.2350 7.8718 4.8058
Ho 0.0000 0.0000 0.0000
Ho -0.1126 5.1934 3.1973
Ho 1.6010 5.8006 0.1461
Ho 1.4884 9.7795 3.3434
Ho 4.5833 0.6072 3.0512
Ho 4.4707 4.5861 6.2485
Sc 2.7081 6.7049 3.3501
Sc 2.8207 8.8752 0.1528
Sc 3.2510 1.5115 6.2418
Sc 3.3636 3.6818 3.0445


6.
11
Lattice="-2.7272 5.2245 5.3642 2.7272 -5.2245 5.3642 2.7272 5.2245 -5.3642" Properties=species:S:1:pos:R:3 comment="PBE Tb3HoSc7, optimized geometry" final_energy_ev_per_cell=-59.5 vol_a3_per_atom=27.8 pbc="T T T"
Tb 0.0000 0.0000 0.0000
Tb 2.7272 2.2219 0.0000
Tb 0.0000 3.0027 5.3642
Ho 0.0000 5.2245 0.0000
Sc 2.7272 3.2234 -3.0426
Sc 2.7272 0.0000 2.2247
Sc 0.0000 2.0011 2.3216
Sc 0.0000 0.0000 5.3642
Sc 2.7272 3.2234 3.0426
Sc 0.0000 5.2245 3.1395
Sc 0.0000 2.0011 8.4068


7.
4
Lattice="3.5052 0.0000 0.0000 0.0000 3.5052 0.0000 0.0000 0.0000 9.6902" Properties=species:S:1:pos:R:3 comment="PBE Tb2HoSc, optimized geometry" final_energy_ev_per_cell=-20.0 relative_energy_ev_per_atom=0.0052 vol_a3_per_atom=29.8 pbc="T T T"
Tb 0.0000 0.0000 2.3225
Tb 0.0000 0.0000 7.3677
Ho 1.7526 1.7526 4.8451
Sc 1.7526 1.7526 0.0000


8.
26
Lattice="11.3485 0.0000 0.0000 0.0000 20.1289 0.0000 0.0000 0.0000 3.5326" Properties=species:S:1:pos:R:3 comment="PBE Tb6Ho5Sc2, optimized geometry" final_energy_ev_per_cell=-123.6 vol_a3_per_atom=31.0 pbc="T T T"
Tb 0.7126 1.6495 0.0000
Tb 0.9793 7.4325 0.0000
Tb 1.9272 12.9550 1.7663
Tb 3.7470 2.8905 1.7663
Tb 4.6949 17.4969 0.0000
Tb 4.9617 11.7139 0.0000
Tb 6.3868 8.4150 0.0000
Tb 6.6535 2.6320 0.0000
Tb 7.6015 17.2384 1.7663
Tb 9.4212 7.1739 1.7663
Tb 10.3691 12.6964 0.0000
Tb 10.6359 18.4794 0.0000
Ho 0.0000 10.0644 1.7663
Ho 0.9275 4.6113 1.7663
Ho 2.2156 19.0362 1.7663
Ho 3.4586 8.9718 1.7663
Ho 4.7468 14.6757 1.7663
Ho 5.6742 0.0000 1.7663
Ho 6.6017 5.4532 1.7663
Ho 7.8899 11.1571 1.7663
Ho 9.1328 1.0927 1.7663
Ho 10.4210 15.5176 1.7663
Sc 1.9375 15.9628 0.0000
Sc 3.7367 5.8984 0.0000
Sc 7.6118 14.2305 0.0000
Sc 9.4109 4.1661 0.0000